First-principles (GGA-PBE) data for a relaxed InWSe2Br crystal, as listed in Alexandria.

abc: 4.934 4.934 5.470
angles: 90.00 90.00 90.00
Space group P4/mmm (No. 123)
Unique sites:
In: 0.000 0.000 0.000
W: 0.500 0.500 0.500
Se: 0.000 0.500 0.500
Br: 0.500 0.500 0.000

Properties
The calculation puts the total magnetization at 0.67 μB/cell. Its energy above the most stable polymorph in this dataset is 0 meV per atom. Its formation energy from raw total energies is 0.022 eV per atom. Its theoretical density is 6.69 Mg/m³. The value obtained for the density of states at the Fermi level is 3.66 states/eV per cell.